1.
Pm3ErZn2 GGA-PBE relaxed; total moment = 0.00 μB per formula unit; formation energy = -1.3 eV per formula unit; calculated volume = 324 Å³/cell; energy = -22.62 eV per formula unit; SG = No. 26; DOS at the Fermi energy = 0.581 states/eV per atom
1.0
5.162 0.000 0.000
0.000 9.315 0.000
0.000 0.000 6.732
Pm Er Zn
6 2 4
Direct
0.000 0.055 0.000
0.000 0.334 0.333
0.000 0.666 0.833
0.000 0.945 0.500
0.500 0.176 0.679
0.500 0.824 0.179
0.500 0.445 0.021
0.500 0.555 0.521
0.000 0.348 0.792
0.000 0.652 0.292
0.500 0.155 0.226
0.500 0.845 0.726

2.
Ca2PrNdS4 GGA-PBE relaxed; total moment = 0.00 μB per formula unit; ΔE_f (raw) = -16.4 eV/f.u.; calculated volume = 189 Å³/cell; energy = -46.50 eV per formula unit; SG = No. 10; DOS at the Fermi energy = 0.402 states/eV per atom
1.0
6.974 0.000 0.000
0.000 4.033 0.000
-2.329 0.000 6.731
Ca Pr Nd S
2 1 1 4
Direct
0.000 0.000 0.000
0.500 0.500 0.000
0.000 0.500 0.500
0.500 0.000 0.500
0.249 0.500 0.243
0.254 0.000 0.758
0.746 0.000 0.242
0.751 0.500 0.757